1.
Here is Tl2Bi2Pb5 after structural relaxation from Alexandria. Energies are from GGA-PBE.

Cell lengths 7.686, 7.686, 8.039 Å; angles 106.17, 106.17, 39.07 degrees
Sites, in units of the cell vectors:
Tl 0.166 0.166 0.000
Tl 0.834 0.834 0.000
Bi 0.280 0.280 0.667
Bi 0.720 0.720 0.333
Pb 0.057 0.057 0.337
Pb 0.386 0.386 0.341
Pb 0.500 0.500 0.000
Pb 0.614 0.614 0.659
Pb 0.943 0.943 0.663

Results
V = 285.9 Å³/f.u.
DOS at the Fermi energy = 4.86 states/eV/f.u.
ΔH_f (0 K) = 0.014 eV/atom
E above lowest polymorph = 0 meV per atom


2.
Here is BaTc2Pt after structural relaxation from Alexandria. Energies are from GGA-PBE.

Cell lengths 6.694, 6.694, 6.694 Å; angles 90.00, 90.00, 90.00 degrees
Sites, in units of the cell vectors:
Ba 0.000 0.000 0.000
Ba 0.000 0.500 0.500
Ba 0.500 0.000 0.500
Ba 0.500 0.500 0.000
Tc 0.250 0.250 0.250
Tc 0.250 0.250 0.750
Tc 0.250 0.750 0.250
Tc 0.250 0.750 0.750
Tc 0.750 0.250 0.250
Tc 0.750 0.250 0.750
Tc 0.750 0.750 0.250
Tc 0.750 0.750 0.750
Pt 0.000 0.000 0.500
Pt 0.000 0.500 0.000
Pt 0.500 0.000 0.000
Pt 0.500 0.500 0.500

Results
V = 75.0 Å³/f.u.
DOS at the Fermi energy = 8.79 states/eV/f.u.
ΔH_f (0 K) = 1.068 eV/atom
E above lowest polymorph = 873 meV per atom


3.
Here is CsPmTa2O7 after structural relaxation from Alexandria. Energies are from GGA-PBE.

Cell lengths 3.915, 3.915, 11.504 Å; angles 90.00, 90.00, 90.00 degrees
Sites, in units of the cell vectors:
Cs 0.000 0.000 0.000
Pm 0.000 0.000 0.500
Ta 0.500 0.500 0.306
Ta 0.500 0.500 0.694
O 0.000 0.500 0.344
O 0.000 0.500 0.656
O 0.500 0.000 0.344
O 0.500 0.000 0.656
O 0.500 0.500 0.149
O 0.500 0.500 0.500
O 0.500 0.500 0.851

Results
V = 176.3 Å³/f.u.
DOS at the Fermi energy = 0.00 states/eV/f.u.
energy relative to the elements, uncorrected = -279.9 kJ per mole of atoms


4.
Here is Na4Tb3PmS8 after structural relaxation from Alexandria. Energies are from GGA-PBE.

Cell lengths 8.142, 8.142, 8.142 Å; angles 59.32, 59.32, 59.32 degrees
Sites, in units of the cell vectors:
Na 0.000 0.000 0.000
Na 0.000 0.500 0.500
Na 0.500 0.000 0.500
Na 0.500 0.500 0.000
Tb 0.000 0.000 0.500
Tb 0.000 0.500 0.000
Tb 0.500 0.000 0.000
Pm 0.500 0.500 0.500
S 0.238 0.746 0.746
S 0.242 0.242 0.242
S 0.254 0.254 0.762
S 0.254 0.762 0.254
S 0.746 0.238 0.746
S 0.746 0.746 0.238
S 0.758 0.758 0.758
S 0.762 0.254 0.254

Results
V = 375.7 Å³/f.u.
DOS at the Fermi energy = 0.00 states/eV/f.u.
energy relative to the elements, uncorrected = -177.1 kJ per mole of atoms


5.
Here is Y3AlCl after structural relaxation from Alexandria. Energies are from GGA-PBE.

Cell lengths 5.106, 5.106, 5.106 Å; angles 90.00, 90.00, 90.00 degrees
Sites, in units of the cell vectors:
Y 0.000 0.000 0.500
Y 0.000 0.500 0.000
Y 0.500 0.000 0.000
Al 0.500 0.500 0.500
Cl 0.000 0.000 0.000

Results
V = 133.1 Å³/f.u.
DOS at the Fermi energy = 5.73 states/eV/f.u.
energy relative to the elements, uncorrected = -39.9 kJ per mole of atoms
E above lowest polymorph = 0 meV per atom


6.
Here is YMgSc2Pd4 after structural relaxation from Alexandria. Energies are from GGA-PBE.

Cell lengths 8.246, 8.246, 8.246 Å; angles 33.14, 33.14, 33.14 degrees
Sites, in units of the cell vectors:
Y 0.000 0.000 0.000
Mg 0.500 0.500 0.500
Sc 0.245 0.245 0.245
Sc 0.755 0.755 0.755
Pd 0.126 0.126 0.126
Pd 0.380 0.380 0.380
Pd 0.620 0.620 0.620
Pd 0.874 0.874 0.874

Results
V = 149.1 Å³/f.u.
DOS at the Fermi energy = 5.44 states/eV/f.u.
ΔH_f (0 K) = -0.834 eV/atom


7.
Here is MgInAgIr after structural relaxation from Alexandria. Energies are from GGA-PBE.

Cell lengths 6.542, 6.542, 6.542 Å; angles 90.00, 90.00, 90.00 degrees
Sites, in units of the cell vectors:
Mg 0.000 0.000 0.000
Mg 0.000 0.500 0.500
Mg 0.500 0.000 0.500
Mg 0.500 0.500 0.000
In 0.000 0.000 0.500
In 0.000 0.500 0.000
In 0.500 0.000 0.000
In 0.500 0.500 0.500
Ag 0.250 0.250 0.250
Ag 0.250 0.750 0.750
Ag 0.750 0.250 0.750
Ag 0.750 0.750 0.250
Ir 0.250 0.250 0.750
Ir 0.250 0.750 0.250
Ir 0.750 0.250 0.250
Ir 0.750 0.750 0.750

Results
V = 70.0 Å³/f.u.
DOS at the Fermi energy = 1.99 states/eV/f.u.
ΔH_f (0 K) = -0.193 eV/atom


8.
Here is YOs3W after structural relaxation from Alexandria. Energies are from GGA-PBE.

Cell lengths 4.748, 4.748, 4.748 Å; angles 90.00, 90.00, 90.00 degrees
Sites, in units of the cell vectors:
Y 0.000 0.000 0.000
Os 0.000 0.500 0.500
Os 0.500 0.000 0.500
Os 0.500 0.500 0.000
W 0.500 0.500 0.500

Results
V = 107.0 Å³/f.u.
DOS at the Fermi energy = 4.02 states/eV/f.u.
ΔH_f (0 K) = 1.253 eV/atom
E above lowest polymorph = 0 meV per atom